# Hf2ZrPb, relaxed, DFT PBE
# E_form   -0.1337 eV/atom
# Calculated total energy   -32.70 eV per formula unit
data_Hf2ZrPb
_chemical_formula_sum 'Hf8 Zr4 Pb4'
_cell_length_a 4.255
_cell_length_b 20.946
_cell_length_c 4.243
_cell_angle_alpha 90.00
_cell_angle_beta 90.00
_cell_angle_gamma 90.00
_symmetry_space_group_name_H-M 'C m c m'
_symmetry_Int_Tables_number 63
_symmetry_space_group_name_Hall '-C 2c 2'
loop_
_atom_site_label
_atom_site_fract_x
_atom_site_fract_y
_atom_site_fract_z
Hf1 0.000 0.052 0.250
Hf2 0.000 0.446 0.250
Zr1 0.000 0.306 0.750
Pb1 0.000 0.164 0.750



# Er2Ga5Co3, relaxed, DFT PBE
# E_form   -0.5044 eV/atom
# Calculated total energy   -50.62 eV per formula unit
data_Er2Ga5Co3
_chemical_formula_sum 'Er8 Ga20 Co12'
_cell_length_a 9.538
_cell_length_b 12.428
_cell_length_c 5.474
_cell_angle_alpha 90.00
_cell_angle_beta 90.00
_cell_angle_gamma 90.00
_symmetry_space_group_name_H-M 'I b a m'
_symmetry_Int_Tables_number 72
_symmetry_space_group_name_Hall '-I 2 2c'
loop_
_atom_site_label
_atom_site_fract_x
_atom_site_fract_y
_atom_site_fract_z
Er1 0.222 0.147 0.000
Ga1 0.000 0.000 0.250
Ga2 0.000 0.298 0.250
Ga3 0.183 0.418 0.000
Co1 0.000 0.500 0.250
Co2 0.083 0.151 0.500



# RhAuN2O, relaxed, DFT PBE
# Calculated total energy   -21.89 eV per formula unit
# ΔE_f (raw)   10.4 eV per formula unit
data_RhAuN2O
_chemical_formula_sum 'Rh1 Au1 N2 O1'
_cell_length_a 4.020
_cell_length_b 4.020
_cell_length_c 4.155
_cell_angle_alpha 90.00
_cell_angle_beta 90.00
_cell_angle_gamma 90.00
_symmetry_space_group_name_H-M 'P 4/m m m'
_symmetry_Int_Tables_number 123
_symmetry_space_group_name_Hall '-P 4 2'
loop_
_atom_site_label
_atom_site_fract_x
_atom_site_fract_y
_atom_site_fract_z
Rh1 0.000 0.000 0.000
Au1 0.500 0.500 0.500
N1 0.000 0.500 0.500
O1 0.500 0.500 0.000



# CsRbHgSe, relaxed, DFT PBE
# Calculated total energy   -8.64 eV per formula unit
# ΔE_f (raw)   -3.0 eV per formula unit
data_CsRbHgSe
_chemical_formula_sum 'Cs4 Rb4 Hg4 Se4'
_cell_length_a 8.571
_cell_length_b 8.571
_cell_length_c 8.571
_cell_angle_alpha 90.00
_cell_angle_beta 90.00
_cell_angle_gamma 90.00
_symmetry_space_group_name_H-M 'F -4 3 m'
_symmetry_Int_Tables_number 216
_symmetry_space_group_name_Hall 'F -4 2 3'
loop_
_atom_site_label
_atom_site_fract_x
_atom_site_fract_y
_atom_site_fract_z
Cs1 0.000 0.000 0.000
Rb1 0.000 0.000 0.500
Hg1 0.250 0.250 0.750
Se1 0.250 0.250 0.250



# Sc3HgO, relaxed, DFT PBE
# Calculated total energy   -30.94 eV per formula unit
# ΔE_f (raw)   -6.7 eV per formula unit
data_Sc3HgO
_chemical_formula_sum 'Sc6 Hg2 O2'
_cell_length_a 3.808
_cell_length_b 4.676
_cell_length_c 10.627
_cell_angle_alpha 90.00
_cell_angle_beta 90.00
_cell_angle_gamma 90.00
_symmetry_space_group_name_H-M 'I m m 2'
_symmetry_Int_Tables_number 44
loop_
_symmetry_equiv_pos_as_xyz
'x,y,z'
'-x,-y,z'
'-x,y,z'
'x,-y,z'
'x+1/2,y+1/2,z+1/2'
'-x+1/2,-y+1/2,z+1/2'
'-x+1/2,y+1/2,z+1/2'
'x+1/2,-y+1/2,z+1/2'
loop_
_atom_site_label
_atom_site_fract_x
_atom_site_fract_y
_atom_site_fract_z
Sc1 0.000 0.000 0.000
Sc2 0.000 0.000 0.452
Sc3 0.000 0.500 0.224
Hg1 0.000 0.500 0.728
O1 0.000 0.500 0.420



# KNaPd, relaxed, DFT PBE
# E_form   0.0004 eV/atom
# Calculated total energy   -7.61 eV per formula unit
data_KNaPd
_chemical_formula_sum 'K2 Na2 Pd2'
_cell_length_a 4.636
_cell_length_b 4.638
_cell_length_c 11.188
_cell_angle_alpha 89.31
_cell_angle_beta 89.47
_cell_angle_gamma 60.11
_symmetry_space_group_name_H-M 'P -1'
_symmetry_Int_Tables_number 2
loop_
_symmetry_equiv_pos_as_xyz
'x,y,z'
'-x,-y,-z'
loop_
_atom_site_label
_atom_site_fract_x
_atom_site_fract_y
_atom_site_fract_z
K1 0.169 0.174 0.166
Na1 0.498 0.496 0.627
Pd1 0.167 0.167 0.502



# Ag5Ru3, relaxed, DFT PBE
# E_form   0.7614 eV/atom
# Calculated total energy   -35.99 eV per formula unit
data_Ag5Ru3
_chemical_formula_sum 'Ag10 Ru6'
_cell_length_a 7.9863
_cell_length_b 7.9863
_cell_length_c 4.9825
_cell_angle_alpha 90.00
_cell_angle_beta 90.00
_cell_angle_gamma 120.00
_symmetry_space_group_name_H-M 'P 63/m c m'
_symmetry_Int_Tables_number 193
_symmetry_space_group_name_Hall '-P 6c 2'
loop_
_atom_site_label
_atom_site_fract_x
_atom_site_fract_y
_atom_site_fract_z
Ag1 0.0000 0.2161 0.2500
Ag2 0.3333 0.6667 0.0000
Ru1 0.0000 0.4294 0.7500



# LiAl2H4Pb2O4F6, relaxed, DFT PBE
# Calculated total energy   -102.42 eV per formula unit
data_LiAl2H4Pb2O4F6
_chemical_formula_sum 'Li1 Al2 H4 Pb2 O4 F6'
_cell_length_a 4.840
_cell_length_b 6.725
_cell_length_c 7.614
_cell_angle_alpha 104.12
_cell_angle_beta 98.16
_cell_angle_gamma 104.68
_symmetry_space_group_name_H-M 'P 1'
_symmetry_Int_Tables_number 1
loop_
_symmetry_equiv_pos_as_xyz
'x,y,z'
loop_
_atom_site_label
_atom_site_fract_x
_atom_site_fract_y
_atom_site_fract_z
Li1 0.000 0.000 0.000
Al1 0.637 0.297 0.886
Al2 0.974 0.688 0.180
H1 0.149 0.368 0.068
H2 0.470 0.641 0.999
H3 0.639 0.704 0.387
H4 0.993 0.279 0.689
Pb1 0.180 0.698 0.647
Pb2 0.494 0.262 0.406
O1 0.636 0.585 0.980
O2 0.782 0.622 0.371
O3 0.855 0.364 0.702
O4 0.968 0.402 0.089
F1 0.196 0.772 0.013
F2 0.308 0.197 0.695
F3 0.323 0.783 0.357
F4 0.380 0.211 0.034
F5 0.696 0.030 0.832
F6 0.944 0.962 0.236



# AcMg10Ag2, relaxed, DFT PBE
# E_form   -0.1278 eV/atom
# Calculated total energy   -27.42 eV per formula unit
data_AcMg10Ag2
_chemical_formula_sum 'Ac4 Mg40 Ag8'
_cell_length_a 5.729
_cell_length_b 14.553
_cell_length_c 14.583
_cell_angle_alpha 90.00
_cell_angle_beta 90.00
_cell_angle_gamma 90.00
_symmetry_space_group_name_H-M 'F m m m'
_symmetry_Int_Tables_number 69
_symmetry_space_group_name_Hall '-F 2 2'
loop_
_atom_site_label
_atom_site_fract_x
_atom_site_fract_y
_atom_site_fract_z
Ac1 0.000 0.000 0.000
Mg1 0.000 0.104 0.387
Mg2 0.000 0.170 0.181
Mg3 0.250 0.250 0.000
Ag1 0.250 0.000 0.250



# Hf6FeBi3, relaxed, DFT PBE
# E_form   -0.0774 eV/atom
# Calculated total energy   -80.60 eV per formula unit
data_Hf6FeBi3
_chemical_formula_sum 'Hf12 Fe2 Bi6'
_cell_length_a 11.778
_cell_length_b 3.388
_cell_length_c 12.777
_cell_angle_alpha 90.00
_cell_angle_beta 113.87
_cell_angle_gamma 90.00
_symmetry_space_group_name_H-M 'P 1 21/m 1'
_symmetry_Int_Tables_number 11
loop_
_symmetry_equiv_pos_as_xyz
'x,y,z'
'-x,-y,-z'
'-x,y+1/2,-z'
'x,-y+1/2,z'
loop_
_atom_site_label
_atom_site_fract_x
_atom_site_fract_y
_atom_site_fract_z
Hf1 0.012 0.250 0.220
Hf2 0.121 0.250 0.649
Hf3 0.128 0.750 0.054
Hf4 0.282 0.750 0.861
Hf5 0.391 0.250 0.078
Hf6 0.418 0.750 0.535
Fe1 0.144 0.250 0.908
Bi1 0.148 0.750 0.454
Bi2 0.305 0.250 0.280
Bi3 0.411 0.250 0.736



# GaCuHRh2, relaxed, DFT PBE
# Calculated total energy   -25.51 eV per formula unit
data_GaCuHRh2
_chemical_formula_sum 'Ga1 Cu1 H1 Rh2'
_cell_length_a 3.904
_cell_length_b 3.904
_cell_length_c 3.816
_cell_angle_alpha 90.00
_cell_angle_beta 90.00
_cell_angle_gamma 90.00
_symmetry_space_group_name_H-M 'P 4/m m m'
_symmetry_Int_Tables_number 123
_symmetry_space_group_name_Hall '-P 4 2'
loop_
_atom_site_label
_atom_site_fract_x
_atom_site_fract_y
_atom_site_fract_z
Ga1 0.000 0.000 0.000
Cu1 0.500 0.500 0.000
H1 0.000 0.000 0.500
Rh1 0.000 0.500 0.500



# Pa3Ru5N12, relaxed, DFT PBE
# Calculated total energy   -182.01 eV per formula unit
# ΔE_f (raw)   -7.2 eV per formula unit
data_Pa3Ru5N12
_chemical_formula_sum 'Pa24 Ru40 N96'
_cell_length_a 12.592
_cell_length_b 12.592
_cell_length_c 12.592
_cell_angle_alpha 90.00
_cell_angle_beta 90.00
_cell_angle_gamma 90.00
_symmetry_space_group_name_H-M 'I a -3 d'
_symmetry_Int_Tables_number 230
_symmetry_space_group_name_Hall '-I 4bd 2c 3'
loop_
_atom_site_label
_atom_site_fract_x
_atom_site_fract_y
_atom_site_fract_z
Pa1 0.000 0.250 0.125
Ru1 0.000 0.000 0.000
Ru2 0.000 0.250 0.375
N1 0.026 0.056 0.653



# LaDyTm2S6, relaxed, DFT PBE
# Calculated total energy   -64.04 eV per formula unit
# ΔE_f (raw)   -20.8 eV per formula unit
data_LaDyTm2S6
_chemical_formula_sum 'La3 Dy3 Tm6 S18'
_cell_length_a 6.9729
_cell_length_b 6.9729
_cell_length_c 18.3936
_cell_angle_alpha 90.00
_cell_angle_beta 90.00
_cell_angle_gamma 120.00
_symmetry_space_group_name_H-M 'R 3'
_symmetry_Int_Tables_number 146
_symmetry_space_group_name_Hall 'R 3'
loop_
_atom_site_label
_atom_site_fract_x
_atom_site_fract_y
_atom_site_fract_z
La1 0.0000 0.0000 0.0000
Dy1 0.0000 0.0000 0.4909
Tm1 0.0000 0.0000 0.2881
Tm2 0.0000 0.0000 0.7927
S1 0.0108 0.3095 0.8871
S2 0.0249 0.6314 0.0542



# YTh6Sc4, relaxed, DFT PBE
# E_form   0.4182 eV/atom
# Calculated total energy   -71.71 eV per formula unit
data_YTh6Sc4
_chemical_formula_sum 'Y2 Th12 Sc8'
_cell_length_a 7.579
_cell_length_b 7.579
_cell_length_c 12.050
_cell_angle_alpha 90.00
_cell_angle_beta 90.00
_cell_angle_gamma 90.00
_symmetry_space_group_name_H-M 'I -4 2 m'
_symmetry_Int_Tables_number 121
_symmetry_space_group_name_Hall 'I -4 2'
loop_
_atom_site_label
_atom_site_fract_x
_atom_site_fract_y
_atom_site_fract_z
Y1 0.000 0.000 0.000
Th1 0.000 0.500 0.000
Th2 0.208 0.208 0.706
Sc1 0.161 0.161 0.427



# LaPmPd, relaxed, DFT PBE
# E_form   -0.4948 eV/atom
# Calculated total energy   -16.36 eV per formula unit
data_LaPmPd
_chemical_formula_sum 'La4 Pm4 Pd4'
_cell_length_a 14.106
_cell_length_b 4.030
_cell_length_c 6.978
_cell_angle_alpha 90.00
_cell_angle_beta 117.53
_cell_angle_gamma 90.00
_symmetry_space_group_name_H-M 'C 1 2/m 1'
_symmetry_Int_Tables_number 12
loop_
_symmetry_equiv_pos_as_xyz
'x,y,z'
'-x,-y,-z'
'-x,y,-z'
'x,-y,z'
'x+1/2,y+1/2,z'
'-x+1/2,-y+1/2,-z'
'-x+1/2,y+1/2,-z'
'x+1/2,-y+1/2,z'
loop_
_atom_site_label
_atom_site_fract_x
_atom_site_fract_y
_atom_site_fract_z
La1 0.011 0.000 0.267
Pm1 0.216 0.500 0.733
Pd1 0.120 0.500 0.097



# CdHg3Se, relaxed, DFT PBE
# Calculated total energy   -4.21 eV per formula unit
# ΔE_f (raw)   1.1 eV per formula unit
data_CdHg3Se
_chemical_formula_sum 'Cd1 Hg3 Se1'
_cell_length_a 5.625
_cell_length_b 5.625
_cell_length_c 5.625
_cell_angle_alpha 90.00
_cell_angle_beta 90.00
_cell_angle_gamma 90.00
_symmetry_space_group_name_H-M 'P m -3 m'
_symmetry_Int_Tables_number 221
_symmetry_space_group_name_Hall '-P 4 2 3'
loop_
_atom_site_label
_atom_site_fract_x
_atom_site_fract_y
_atom_site_fract_z
Cd1 0.000 0.000 0.000
Hg1 0.000 0.500 0.500
Se1 0.500 0.500 0.500



# CaTl2Ga2, relaxed, DFT PBE
# E_form   -0.1227 eV/atom
# Calculated total energy   -13.40 eV per formula unit
data_CaTl2Ga2
_chemical_formula_sum 'Ca2 Tl4 Ga4'
_cell_length_a 8.078
_cell_length_b 8.078
_cell_length_c 3.956
_cell_angle_alpha 90.00
_cell_angle_beta 90.00
_cell_angle_gamma 90.00
_symmetry_space_group_name_H-M 'P 4/m b m'
_symmetry_Int_Tables_number 127
_symmetry_space_group_name_Hall '-P 4 2ab'
loop_
_atom_site_label
_atom_site_fract_x
_atom_site_fract_y
_atom_site_fract_z
Ca1 0.000 0.000 0.000
Tl1 0.180 0.320 0.500
Ga1 0.117 0.617 0.000



# La2OsPt, relaxed, DFT PBE
# E_form   -0.3896 eV/atom
# Calculated total energy   -28.68 eV per formula unit
data_La2OsPt
_chemical_formula_sum 'La6 Os3 Pt3'
_cell_length_a 4.4129
_cell_length_b 4.4129
_cell_length_c 21.9880
_cell_angle_alpha 90.00
_cell_angle_beta 90.00
_cell_angle_gamma 120.00
_symmetry_space_group_name_H-M 'R 3 m'
_symmetry_Int_Tables_number 160
_symmetry_space_group_name_Hall 'R 3 -2"'
loop_
_atom_site_label
_atom_site_fract_x
_atom_site_fract_y
_atom_site_fract_z
La1 0.0000 0.0000 0.0000
La2 0.0000 0.0000 0.1688
Os1 0.0000 0.0000 0.4171
Pt1 0.0000 0.0000 0.7519



# La2ZrBr, relaxed, DFT PBE
# Calculated total energy   -20.30 eV per formula unit
# ΔE_f (raw)   -0.2 eV per formula unit
data_La2ZrBr
_chemical_formula_sum 'La2 Zr1 Br1'
_cell_length_a 3.495
_cell_length_b 5.362
_cell_length_c 6.252
_cell_angle_alpha 90.00
_cell_angle_beta 90.00
_cell_angle_gamma 90.00
_symmetry_space_group_name_H-M 'P m m m'
_symmetry_Int_Tables_number 47
loop_
_symmetry_equiv_pos_as_xyz
'x,y,z'
'-x,-y,-z'
'-x,-y,z'
'x,y,-z'
'x,-y,-z'
'-x,y,z'
'-x,y,-z'
'x,-y,z'
loop_
_atom_site_label
_atom_site_fract_x
_atom_site_fract_y
_atom_site_fract_z
La1 0.000 0.000 0.000
La2 0.500 0.000 0.500
Zr1 0.000 0.500 0.500
Br1 0.500 0.500 0.000